## Li4Nb3Co3Te2O16 (GGA+U)

Data for a geometry-optimized Li4Nb3Co3Te2O16 structure.

## Properties
The calculation puts the final energy at -6.759 eV/atom.

abc: 10.673 6.103 10.506
angles: 90.00 90.93 90.00
Space group Cm (No. 8)
Unique sites:
Li 0.000 0.000 0.000 x2
Li 0.007 0.000 0.489 x2
Li 0.169 0.500 0.085 x2
Li 0.342 0.000 0.577 x2
Nb 0.104 0.252 0.766 x4
Nb 0.186 0.000 0.250 x2
Co 0.319 0.500 0.772 x2
Co 0.420 0.244 0.270 x4
Te 0.178 0.500 0.466 x2
Te 0.370 0.000 0.989 x2
O 0.005 0.000 0.677 x2
O 0.011 0.000 0.185 x2
O 0.018 0.500 0.666 x2
O 0.093 0.251 0.382 x4
O 0.151 0.000 0.880 x2
O 0.159 0.500 0.887 x2
O 0.242 0.239 0.656 x4
O 0.252 0.232 0.151 x4
O 0.329 0.000 0.377 x2
O 0.341 0.500 0.384 x2
O 0.438 0.249 0.895 x4
O 0.489 0.000 0.133 x2